1) Density functional theory data (PBEsol) for a relaxed structure of TaFe2Rh.

- total moment (μB per formula unit) = 3.88

```
data_TaFe2Rh
_symmetry_space_group_name_H-M 'I -4 m 2'
_symmetry_Int_Tables_number 119
_symmetry_space_group_name_Hall 'I -4 -2'
_cell_length_a 3.704
_cell_length_b 3.704
_cell_length_c 7.667
_cell_angle_alpha 90.00
_cell_angle_beta 90.00
_cell_angle_gamma 90.00
loop_
_atom_site_label
_atom_site_fract_x
_atom_site_fract_y
_atom_site_fract_z
_atom_site_occupancy
Ta1 0.000 0.000 0.000 1
Fe1 0.000 0.000 0.500 1
Fe2 0.000 0.500 0.250 1
Rh1 0.000 0.500 0.750 1
```

2) Density functional theory data (PBEsol) for a relaxed structure of TaFe2Rh.

- total moment (μB per formula unit) = 2.19

```
data_TaFe2Rh
_symmetry_space_group_name_H-M 'P 4/m m m'
_symmetry_Int_Tables_number 123
_symmetry_space_group_name_Hall '-P 4 2'
_cell_length_a 3.718
_cell_length_b 3.718
_cell_length_c 3.691
_cell_angle_alpha 90.00
_cell_angle_beta 90.00
_cell_angle_gamma 90.00
loop_
_atom_site_label
_atom_site_fract_x
_atom_site_fract_y
_atom_site_fract_z
_atom_site_occupancy
Ta1 0.000 0.000 0.000 1
Fe1 0.000 0.500 0.500 1
Rh1 0.500 0.500 0.000 1
```

Stability, lowest: 1)

1) Density functional theory data (PBEsol) for a relaxed structure of FeTc2Rh.

- total moment (μB per formula unit) = 0.67

```
data_FeTc2Rh
_symmetry_space_group_name_H-M 'C m m m'
_symmetry_Int_Tables_number 65
_symmetry_space_group_name_Hall '-C 2 2'
_cell_length_a 5.213
_cell_length_b 7.552
_cell_length_c 2.618
_cell_angle_alpha 90.00
_cell_angle_beta 90.00
_cell_angle_gamma 90.00
loop_
_atom_site_label
_atom_site_fract_x
_atom_site_fract_y
_atom_site_fract_z
_atom_site_occupancy
Fe1 0.000 0.000 0.000 1
Tc1 0.250 0.250 0.500 1
Rh1 0.000 0.500 0.000 1
```

2) Density functional theory data (PBEsol) for a relaxed structure of FeTc2Rh.

- total moment (μB per formula unit) = 0.56

```
data_FeTc2Rh
_symmetry_space_group_name_H-M 'I 4/m m m'
_symmetry_Int_Tables_number 139
_symmetry_space_group_name_Hall '-I 4 2'
_cell_length_a 3.694
_cell_length_b 3.694
_cell_length_c 7.519
_cell_angle_alpha 90.00
_cell_angle_beta 90.00
_cell_angle_gamma 90.00
loop_
_atom_site_label
_atom_site_fract_x
_atom_site_fract_y
_atom_site_fract_z
_atom_site_occupancy
Fe1 0.000 0.000 0.000 1
Tc1 0.000 0.500 0.250 1
Rh1 0.000 0.000 0.500 1
```

Stability, lowest: 1)

1) Density functional theory data (PBEsol) for a relaxed structure of FeSb2Ru.

- total moment (μB per formula unit) = 3.80

```
data_FeSb2Ru
_symmetry_space_group_name_H-M 'F -4 3 m'
_symmetry_Int_Tables_number 216
_symmetry_space_group_name_Hall 'F -4 2 3'
_cell_length_a 6.595
_cell_length_b 6.595
_cell_length_c 6.595
_cell_angle_alpha 90.00
_cell_angle_beta 90.00
_cell_angle_gamma 90.00
loop_
_atom_site_label
_atom_site_fract_x
_atom_site_fract_y
_atom_site_fract_z
_atom_site_occupancy
Fe1 0.000 0.000 0.000 1
Sb1 0.000 0.000 0.500 1
Sb2 0.250 0.250 0.250 1
Ru1 0.250 0.250 0.750 1
```

2) Density functional theory data (PBEsol) for a relaxed structure of FeSb2Ru.

- total moment (μB per formula unit) = 1.53

```
data_FeSb2Ru
_symmetry_space_group_name_H-M 'P 4/m m m'
_symmetry_Int_Tables_number 123
_symmetry_space_group_name_Hall '-P 4 2'
_cell_length_a 3.178
_cell_length_b 3.178
_cell_length_c 6.388
_cell_angle_alpha 90.00
_cell_angle_beta 90.00
_cell_angle_gamma 90.00
loop_
_atom_site_label
_atom_site_fract_x
_atom_site_fract_y
_atom_site_fract_z
_atom_site_occupancy
Fe1 0.000 0.000 0.000 1
Sb1 0.500 0.500 0.241 1
Ru1 0.000 0.000 0.500 1
```

3) Density functional theory data (PBEsol) for a relaxed structure of FeSb2Ru.

- total moment (μB per formula unit) = 2.31

```
data_FeSb2Ru
_symmetry_space_group_name_H-M 'P 4 m m'
_symmetry_Int_Tables_number 99
_symmetry_space_group_name_Hall 'P 4 -2'
_cell_length_a 3.092
_cell_length_b 3.092
_cell_length_c 7.705
_cell_angle_alpha 90.00
_cell_angle_beta 90.00
_cell_angle_gamma 90.00
loop_
_atom_site_label
_atom_site_fract_x
_atom_site_fract_y
_atom_site_fract_z
_atom_site_occupancy
Fe1 0.000 0.000 0.000 1
Sb1 0.000 0.000 0.401 1
Sb2 0.500 0.500 0.800 1
Ru1 0.500 0.500 0.190 1
```

Stability, lowest: 1)

1) Density functional theory data (PBEsol) for a relaxed structure of TaFeRu2.

- total moment (μB per formula unit) = 4.56

```
data_TaFeRu2
_symmetry_space_group_name_H-M 'F m -3 m'
_symmetry_Int_Tables_number 225
_symmetry_space_group_name_Hall '-F 4 2 3'
_cell_length_a 6.096
_cell_length_b 6.096
_cell_length_c 6.096
_cell_angle_alpha 90.00
_cell_angle_beta 90.00
_cell_angle_gamma 90.00
loop_
_atom_site_label
_atom_site_fract_x
_atom_site_fract_y
_atom_site_fract_z
_atom_site_occupancy
Ta1 0.000 0.000 0.000 1
Fe1 0.000 0.000 0.500 1
Ru1 0.250 0.250 0.250 1
```

2) Density functional theory data (PBEsol) for a relaxed structure of TaFeRu2.

- total moment (μB per formula unit) = 2.62

```
data_TaFeRu2
_symmetry_space_group_name_H-M 'R -3 m'
_symmetry_Int_Tables_number 166
_symmetry_space_group_name_Hall '-R 3 2"'
_cell_length_a 2.7400
_cell_length_b 2.7400
_cell_length_c 25.8329
_cell_angle_alpha 90.00
_cell_angle_beta 90.00
_cell_angle_gamma 120.00
loop_
_atom_site_label
_atom_site_fract_x
_atom_site_fract_y
_atom_site_fract_z
_atom_site_occupancy
Ta1 0.0000 0.0000 0.0000 1
Fe1 0.0000 0.0000 0.5000 1
Ru1 0.0000 0.0000 0.2444 1
```

Stability, lowest: 2)